A plane-wave DFT calculation with GGA-PBE was carried out for an optimized crystal structure of ZrC3.

a = 4.345 Å, b = 4.345 Å, c = 4.345 Å
α = 134.27°, β = 70.32°, γ = 129.70°
Positions (direct):
1 Zr 0.000 0.000 0.000
2 C 0.169 0.852 0.317
3 C 0.464 0.964 0.500
4 C 0.535 0.852 0.683

Calculated values
Fermi-level density of states: 1.50 states/eV per cell
density: 4.77 Mg/m³
calculated formation energy: 0.6533 eV per atom
uncorrected energy: -33.61 eV for the cell shown
space group: Imm2 (44)
excess energy over the best structure of this formula in the dataset: 0.392 eV/atom



A plane-wave DFT calculation with GGA-PBE was carried out for an optimized crystal structure of NiGe2N2.

a = 6.708 Å, b = 3.071 Å, c = 12.030 Å
α = 90.00°, β = 90.00°, γ = 90.00°
Positions (direct):
1 Ni 0.222 0.250 0.127
2 Ni 0.278 0.750 0.627
3 Ni 0.722 0.250 0.373
4 Ni 0.778 0.750 0.873
5 Ge 0.014 0.750 0.349
6 Ge 0.132 0.750 0.905
7 Ge 0.368 0.250 0.405
8 Ge 0.486 0.250 0.849
9 Ge 0.514 0.750 0.151
10 Ge 0.632 0.750 0.595
11 Ge 0.868 0.250 0.095
12 Ge 0.986 0.250 0.651
13 N 0.167 0.250 0.283
14 N 0.227 0.750 0.468
15 N 0.273 0.250 0.968
16 N 0.333 0.750 0.783
17 N 0.667 0.250 0.217
18 N 0.727 0.750 0.032
19 N 0.773 0.250 0.532
20 N 0.833 0.750 0.717

Calculated values
Fermi-level density of states: 6.46 states/eV per cell
density: 6.22 Mg/m³
formation energy from raw total energies: 0.174 eV/atom
uncorrected energy: -123.19 eV for the cell shown
space group: Pnma (62)



A plane-wave DFT calculation with GGA-PBE was carried out for an optimized crystal structure of CsNpMnI6.

a = 7.876 Å, b = 7.876 Å, c = 17.265 Å
α = 90.00°, β = 90.00°, γ = 120.00°
Positions (direct):
1 Cs 0.000 0.000 0.000
2 Cs 0.000 0.000 0.500
3 Np 0.333 0.667 0.250
4 Np 0.667 0.333 0.750
5 Mn 0.333 0.667 0.750
6 Mn 0.667 0.333 0.250
7 I 0.019 0.381 0.651
8 I 0.019 0.638 0.849
9 I 0.362 0.381 0.849
10 I 0.362 0.981 0.651
11 I 0.381 0.019 0.151
12 I 0.381 0.362 0.349
13 I 0.619 0.638 0.651
14 I 0.619 0.981 0.849
15 I 0.638 0.019 0.349
16 I 0.638 0.619 0.151
17 I 0.981 0.362 0.151
18 I 0.981 0.619 0.349

Calculated values
Fermi-level density of states: 16.51 states/eV per cell
density: 4.25 Mg/m³
formation energy from raw total energies: -0.865 eV/atom
uncorrected energy: -80.09 eV for the cell shown
space group: P-31c (163)



A plane-wave DFT calculation with GGA-PBE was carried out for an optimized crystal structure of Tl5CuAu6.

a = 7.378 Å, b = 7.378 Å, c = 7.467 Å
α = 99.15°, β = 99.15°, γ = 129.71°
Positions (direct):
1 Tl 0.000 0.000 0.000
2 Tl 0.296 0.704 0.000
3 Tl 0.367 0.633 0.500
4 Tl 0.633 0.367 0.500
5 Tl 0.704 0.296 0.000
6 Cu 0.000 0.000 0.500
7 Au 0.134 0.810 0.299
8 Au 0.190 0.866 0.701
9 Au 0.392 0.392 0.796
10 Au 0.608 0.608 0.204
11 Au 0.810 0.134 0.299
12 Au 0.866 0.190 0.701

Calculated values
Fermi-level density of states: 4.40 states/eV per cell
density: 12.99 Mg/m³
calculated formation energy: 0.0292 eV per atom
uncorrected energy: -35.24 eV for the cell shown
space group: C2/m (12)



A plane-wave DFT calculation with GGA-PBE was carried out for an optimized crystal structure of PaGeRuS.

a = 4.332 Å, b = 4.332 Å, c = 8.018 Å
α = 90.00°, β = 90.00°, γ = 90.00°
Positions (direct):
1 Pa 0.250 0.250 0.216
2 Pa 0.750 0.750 0.784
3 Ge 0.250 0.250 0.657
4 Ge 0.750 0.750 0.343
5 Ru 0.250 0.750 0.500
6 Ru 0.750 0.250 0.500
7 S 0.250 0.750 0.000
8 S 0.750 0.250 0.000

Calculated values
Fermi-level density of states: 8.00 states/eV per cell
density: 9.64 Mg/m³
formation energy from raw total energies: -0.922 eV/atom
uncorrected energy: -62.41 eV for the cell shown
space group: P4/nmm (129)



A plane-wave DFT calculation with GGA-PBE was carried out for an optimized crystal structure of Re2SbTe.

a = 4.391 Å, b = 4.391 Å, c = 6.792 Å
α = 107.10°, β = 107.10°, γ = 51.82°
Positions (direct):
1 Re 0.000 0.000 0.000
2 Re 0.708 0.708 0.086
3 Sb 0.228 0.228 0.760
4 Te 0.474 0.474 0.324

Calculated values
Fermi-level density of states: 2.55 states/eV per cell
density: 10.61 Mg/m³
formation energy from raw total energies: 0.457 eV/atom
uncorrected energy: -30.33 eV for the cell shown
space group: Cm (8)
excess energy over the best structure of this formula in the dataset: 0.149 eV/atom



A plane-wave DFT calculation with GGA-PBE was carried out for an optimized crystal structure of LaEuDy2.

a = 5.180 Å, b = 5.180 Å, c = 5.172 Å
α = 90.00°, β = 90.00°, γ = 90.00°
Positions (direct):
1 La 0.000 0.000 0.000
2 Eu 0.500 0.500 0.000
3 Dy 0.000 0.500 0.500
4 Dy 0.500 0.000 0.500

Calculated values
Fermi-level density of states: 6.77 states/eV per cell
density: 7.37 Mg/m³
calculated formation energy: 0.0918 eV per atom
uncorrected energy: -24.04 eV for the cell shown
space group: P4/mmm (123)
excess energy over the best structure of this formula in the dataset: 0.037 eV/atom



A plane-wave DFT calculation with GGA-PBE was carried out for an optimized crystal structure of ZnPd2Pt6.

a = 5.352 Å, b = 5.352 Å, c = 6.091 Å
α = 90.05°, β = 90.05°, γ = 60.00°
Positions (direct):
1 Zn 0.000 0.000 0.000
2 Pd 0.334 0.334 0.077
3 Pd 0.666 0.666 0.923
4 Pt 0.171 0.171 0.680
5 Pt 0.171 0.657 0.679
6 Pt 0.343 0.829 0.321
7 Pt 0.657 0.171 0.679
8 Pt 0.829 0.343 0.321
9 Pt 0.829 0.829 0.320

Calculated values
Fermi-level density of states: 9.88 states/eV per cell
density: 15.93 Mg/m³
calculated formation energy: 0.0419 eV per atom
uncorrected energy: -47.53 eV for the cell shown
space group: C2/m (12)
excess energy over the best structure of this formula in the dataset: 0.229 eV/atom